Entry 1:
Material: Li3ZrAg
Method: DFT, PBE
State: optimized geometry

The distance to the lowest polymorph of the same formula is 0.0000 eV/atom. As for the formation energy from the elements: 511 meV/atom.

a b c (Å): 4.6443 4.6443 4.6443
angles (deg): 90.00 90.00 90.00
Space group Pm-3m (No. 221)
Symmetry-distinct sites (fractional):
Li: 0.0000 0.0000 0.5000 x3
Zr: 0.5000 0.5000 0.5000 x1
Ag: 0.0000 0.0000 0.0000 x1


Entry 2:
Material: RbCrS2
Method: DFT, PBE
State: optimized geometry

The calculation puts the uncorrected formation energy at -0.813 eV per atom.

a b c (Å): 17.7622 3.8732 6.0068
angles (deg): 90.00 101.38 90.00
Space group C2/m (No. 12)
Symmetry-distinct sites (fractional):
Rb: 0.0845 0.0000 0.3017 x4
Cr: 0.2030 0.5000 0.8781 x4
S: 0.0804 0.5000 0.7953 x4
S: 0.2445 0.0000 0.7509 x4


Entry 3:
Material: TaNi2N2
Method: DFT, PBE
State: optimized geometry

The calculation puts the uncorrected formation energy at 0.452 eV per atom. The distance to the lowest polymorph of the same formula is 0.0000 eV/atom.

a b c (Å): 3.6496 3.6496 7.5627
angles (deg): 90.00 90.00 90.00
Space group I4/mmm (No. 139)
Symmetry-distinct sites (fractional):
Ta: 0.0000 0.0000 0.0000 x2
Ni: 0.0000 0.0000 0.3436 x4
N: 0.0000 0.5000 0.2500 x4


Entry 4:
Material: InSnW2I
Method: DFT, PBE
State: optimized geometry

The calculation puts the uncorrected formation energy at 2.329 eV per atom.

a b c (Å): 4.9869 4.9869 5.8605
angles (deg): 90.00 90.00 90.00
Space group P4/mmm (No. 123)
Symmetry-distinct sites (fractional):
In: 0.0000 0.0000 0.0000 x1
Sn: 0.5000 0.5000 0.0000 x1
W: 0.0000 0.5000 0.5000 x2
I: 0.0000 0.0000 0.5000 x1


Entry 5:
Material: CsW3Br
Method: DFT, PBE
State: optimized geometry

The calculation puts the uncorrected formation energy at 4.220 eV per atom. The distance to the lowest polymorph of the same formula is 1.3991 eV/atom.

a b c (Å): 5.0289 5.0289 5.0289
angles (deg): 90.00 90.00 90.00
Space group Pm-3m (No. 221)
Symmetry-distinct sites (fractional):
Cs: 0.0000 0.0000 0.0000 x1
W: 0.0000 0.0000 0.5000 x3
Br: 0.5000 0.5000 0.5000 x1


Entry 6:
Material: Y4ErZr
Method: DFT, PBE
State: optimized geometry

As for the formation energy from the elements: 60 meV/atom.

a b c (Å): 3.5036 3.5036 51.0178
angles (deg): 90.00 90.00 120.00
Space group R-3m (No. 166, hexagonal axes)
Symmetry-distinct sites (fractional):
Y: 0.0000 0.0000 0.1102 x6
Y: 0.0000 0.0000 0.2819 x6
Er: 0.0000 0.0000 0.5000 x3
Zr: 0.0000 0.0000 0.0000 x3


Entry 7:
Material: YFeCu2
Method: DFT, PBE
State: optimized geometry

As for the formation energy from the elements: 273 meV/atom.

a b c (Å): 6.3175 6.3175 6.3175
angles (deg): 90.00 90.00 90.00
Space group Fm-3m (No. 225)
Symmetry-distinct sites (fractional):
Y: 0.0000 0.0000 0.0000 x4
Fe: 0.0000 0.0000 0.5000 x4
Cu: 0.2500 0.2500 0.2500 x8


Entry 8:
Material: NdTlPb3
Method: DFT, PBE
State: optimized geometry

As for the formation energy from the elements: 73 meV/atom.

a b c (Å): 9.0863 13.5318 5.9359
angles (deg): 90.00 90.00 90.00
Space group Cmcm (No. 63)
Symmetry-distinct sites (fractional):
Nd: 0.0000 0.2209 0.2500 x4
Tl: 0.0000 0.4543 0.2500 x4
Pb: 0.0000 0.0000 0.0000 x4
Pb: 0.1649 0.3272 0.7500 x8


Entry 9:
Material: TbTm2Ta
Method: DFT, PBE
State: optimized geometry

As for the formation energy from the elements: 579 meV/atom.

a b c (Å): 3.2437 3.2437 34.8293
angles (deg): 90.00 90.00 120.00
Space group R-3m (No. 166, hexagonal axes)
Symmetry-distinct sites (fractional):
Tb: 0.0000 0.0000 0.0000 x3
Tm: 0.0000 0.0000 0.4161 x6
Ta: 0.0000 0.0000 0.5000 x3


Entry 10:
Material: La7NdEr12
Method: DFT, PBE
State: optimized geometry

As for the formation energy from the elements: 622 meV/atom.

a b c (Å): 11.3258 11.3258 11.3258
angles (deg): 90.00 90.00 90.00
Space group Im-3m (No. 229)
Symmetry-distinct sites (fractional):
La: 0.0000 0.0000 0.5000 x6
La: 0.2500 0.2500 0.2500 x8
Nd: 0.0000 0.0000 0.0000 x2
Er: 0.0000 0.2483 0.2483 x24


Entry 11:
Material: Sm8TlNi2
Method: DFT, PBE
State: optimized geometry

As for the formation energy from the elements: -118 meV/atom.

a b c (Å): 8.6770 13.6912 5.4944
angles (deg): 90.00 104.47 90.00
Space group C2/m (No. 12)
Symmetry-distinct sites (fractional):
Sm: 0.0000 0.2480 0.0000 x4
Sm: 0.1049 0.5000 0.8046 x4
Sm: 0.2056 0.1271 0.5689 x8
Tl: 0.0000 0.0000 0.0000 x2
Ni: 0.0000 0.2998 0.5000 x4


Entry 12:
Material: RbBeB2Sb
Method: DFT, PBE
State: optimized geometry

The calculation puts the uncorrected formation energy at 1.661 eV per atom.

a b c (Å): 4.7735 4.7735 4.9392
angles (deg): 90.00 90.00 90.00
Space group P4/mmm (No. 123)
Symmetry-distinct sites (fractional):
Rb: 0.0000 0.0000 0.0000 x1
Be: 0.5000 0.5000 0.0000 x1
B: 0.0000 0.5000 0.5000 x2
Sb: 0.5000 0.5000 0.5000 x1


Entry 13:
Material: CaPt4W
Method: DFT, PBE
State: optimized geometry

As for the formation energy from the elements: -71 meV/atom.

a b c (Å): 7.5244 7.5244 7.5244
angles (deg): 90.00 90.00 90.00
Space group F-43m (No. 216)
Symmetry-distinct sites (fractional):
Ca: 0.0000 0.0000 0.0000 x4
Pt: 0.1246 0.1246 0.6246 x16
W: 0.2500 0.2500 0.2500 x4


Entry 14:
Material: Ac2CeSe2S2
Method: DFT, PBE
State: optimized geometry

The calculation puts the uncorrected formation energy at -1.721 eV per atom.

a b c (Å): 5.2430 5.2430 15.6631
angles (deg): 90.00 90.00 90.00
Space group I4/mmm (No. 139)
Symmetry-distinct sites (fractional):
Ac: 0.0000 0.0000 0.1245 x4
Ce: 0.0000 0.0000 0.5000 x2
Se: 0.0000 0.0000 0.3160 x4
S: 0.0000 0.5000 0.0000 x4


Entry 15:
Material: Pu2Pa3Ge4
Method: DFT, PBE
State: optimized geometry

The distance to the lowest polymorph of the same formula is 0.0000 eV/atom. As for the formation energy from the elements: -440 meV/atom.

a b c (Å): 7.7763 7.6923 7.6517
angles (deg): 90.00 114.77 90.00
Space group P2_1/c (No. 14)
Symmetry-distinct sites (fractional):
Pu: 0.2337 0.1786 0.1957 x4
Pa: 0.1972 0.6918 0.0545 x4
Pa: 0.5000 0.0000 0.0000 x2
Ge: 0.0769 0.0237 0.8074 x4
Ge: 0.4924 0.6208 0.8812 x4


Entry 16:
Material: SrCa3Au
Method: DFT, PBE
State: optimized geometry

The distance to the lowest polymorph of the same formula is 1.4209 eV/atom. As for the formation energy from the elements: 1062 meV/atom.

a b c (Å): 6.8030 6.8030 6.8030
angles (deg): 90.00 90.00 90.00
Space group Pm-3m (No. 221)
Symmetry-distinct sites (fractional):
Sr: 0.0000 0.0000 0.0000 x1
Ca: 0.0000 0.0000 0.5000 x3
Au: 0.5000 0.5000 0.5000 x1


Entry 17:
Material: KBa3P2O8
Method: DFT, PBE
State: optimized geometry

The calculation puts the uncorrected formation energy at -2.581 eV per atom.

a b c (Å): 5.6904 5.6904 9.8705
angles (deg): 90.00 90.00 120.00
Space group P-3m1 (No. 164)
Symmetry-distinct sites (fractional):
K: 0.0000 0.0000 0.0000 x1
Ba: 0.0000 0.0000 0.5000 x1
Ba: 0.3333 0.6667 0.2465 x2
P: 0.3333 0.6667 0.6651 x2
O: 0.1839 0.3677 0.7180 x6
O: 0.3333 0.6667 0.5072 x2


Entry 18:
Material: KAgAu2
Method: DFT, PBE
State: optimized geometry

The distance to the lowest polymorph of the same formula is 0.1348 eV/atom. As for the formation energy from the elements: 50 meV/atom.

a b c (Å): 3.5687 3.5687 7.5344
angles (deg): 90.00 90.00 90.00
Space group P4mm (No. 99)
Symmetry-distinct sites (fractional):
K: 0.0000 0.0000 0.0000 x1
Ag: 0.5000 0.5000 0.3301 x1
Au: 0.0000 0.0000 0.5085 x1
Au: 0.5000 0.5000 0.7026 x1


Entry 19:
Material: SrLiSi2
Method: DFT, PBE
State: optimized geometry

The calculation puts the uncorrected formation energy at -0.104 eV per atom. The distance to the lowest polymorph of the same formula is 0.3101 eV/atom.

a b c (Å): 4.7938 4.7938 17.2416
angles (deg): 90.00 90.00 90.00
Space group I4_1/amd (No. 141, origin choice 2)
Symmetry-distinct sites (fractional):
Sr: 0.0000 0.2500 0.3750 x4
Li: 0.0000 0.2500 0.8750 x4
Si: 0.0000 0.0000 0.0000 x8


Entry 20:
Material: CaHoBr5
Method: DFT, PBE
State: optimized geometry

The calculation puts the uncorrected formation energy at -1.864 eV per atom.

a b c (Å): 11.1235 10.0650 11.1834
angles (deg): 90.00 117.84 90.00
Space group C2/c (No. 15)
Symmetry-distinct sites (fractional):
Ca: 0.0000 0.0723 0.2500 x4
Ho: 0.2500 0.2500 0.0000 x4
Br: 0.0000 0.2292 0.7500 x4
Br: 0.1063 0.2697 0.1446 x8
Br: 0.2359 0.0241 0.5026 x8


Entry 21:
Material: Rb2Sm2PaSe6
Method: DFT, PBE
State: optimized geometry

The calculation puts the uncorrected formation energy at -1.653 eV per atom.

a b c (Å): 7.3883 12.7401 8.5756
angles (deg): 90.00 106.97 90.00
Space group C2/m (No. 12)
Symmetry-distinct sites (fractional):
Rb: 0.0000 0.1689 0.0000 x4
Sm: 0.0000 0.3336 0.5000 x4
Pa: 0.0000 0.0000 0.5000 x2
Se: 0.2280 0.1628 0.6938 x8
Se: 0.2417 0.5000 0.6933 x4


Entry 22:
Material: YTiOsRh
Method: DFT, PBE
State: optimized geometry

As for the formation energy from the elements: -458 meV/atom.

a b c (Å): 6.5272 6.5272 6.5272
angles (deg): 90.00 90.00 90.00
Space group F-43m (No. 216)
Symmetry-distinct sites (fractional):
Y: 0.0000 0.0000 0.0000 x4
Ti: 0.0000 0.0000 0.5000 x4
Os: 0.2500 0.2500 0.7500 x4
Rh: 0.2500 0.2500 0.2500 x4


Entry 23:
Material: MgFe4S8
Method: DFT, PBE
State: optimized geometry

The calculation puts the uncorrected formation energy at -0.439 eV per atom. The distance to the lowest polymorph of the same formula is 0.0000 eV/atom.

a b c (Å): 6.5876 6.5876 18.3778
angles (deg): 90.00 90.00 120.00
Space group R-3m (No. 166, hexagonal axes)
Symmetry-distinct sites (fractional):
Mg: 0.0000 0.0000 0.0000 x3
Fe: 0.0000 0.0000 0.5000 x3
Fe: 0.0000 0.5000 0.5000 x9
S: 0.0000 0.0000 0.2361 x6
S: 0.0027 0.5013 0.7643 x18


Entry 24:
Material: BaSnTe3
Method: DFT, PBE
State: optimized geometry

The calculation puts the uncorrected formation energy at -0.569 eV per atom. The distance to the lowest polymorph of the same formula is 0.1744 eV/atom.

a b c (Å): 5.7866 5.7866 5.7866
angles (deg): 90.00 90.00 90.00
Space group Pm-3m (No. 221)
Symmetry-distinct sites (fractional):
Ba: 0.0000 0.0000 0.0000 x1
Sn: 0.5000 0.5000 0.5000 x1
Te: 0.0000 0.5000 0.5000 x3


The D(E_F) results, record by record, are as follows: 4.1, 4.5, 7.1, 6.2, 7.6, 26.3, 36.1, 10.2, 15.8, 62.9, 25.9, 3.9, 30.9, 15.8, 32.6, 15.0, 1.3, 1.5, 5.4, 0.0, 4.1, 6.3, 32.9, 3.3 states/eV per cell.